! PBE+U DyMn3B4O12, optimized geometry; values from VASP
! VASP energy ... -7.8979 eV per atom
! Volume ... 10.454 Å³ per atom
! D(E_F) ... 3.392 states/eV/cell
! Crystal system ... trigonal
! Space-group type ... R32, No. 155
&SYSTEM
  ibrav = 0, nat = 20, ntyp = 4
/
ATOMIC_SPECIES
Dy 162.50 Dy.upf
Mn 54.94 Mn.upf
B 10.81 B.upf
O 16.00 O.upf
ATOMIC_POSITIONS angstrom
Dy 0.000 0.000 0.000
Mn -2.636 -1.011 2.588
Mn 2.194 -1.777 2.588
Mn 0.442 2.788 2.588
B -2.184 -3.783 3.881
B 0.000 0.000 3.881
B -2.184 3.783 3.881
B 4.368 0.000 3.881
O -2.942 -2.636 3.783
O -3.899 0.000 3.881
O -0.812 -3.865 3.980
O -1.383 0.000 3.881
O -2.942 2.636 3.980
O 1.950 -3.377 3.881
O 0.691 -1.198 3.881
O -0.812 3.865 3.783
O 0.691 1.198 3.881
O 3.753 -1.230 3.783
O 1.950 3.377 3.881
O 3.753 1.230 3.980
CELL_PARAMETERS angstrom
4.830 2.788 2.588
-4.830 2.788 2.588
0.000 -5.577 2.588